1.
The following is a DFT calculation (PBE) of an optimized crystal structure of LaSm7Mg4.

Lattice parameters (Å, degrees): 5.8422 9.2260 8.2050 68.32 69.14 71.54
Positions (direct):
1 Sm 0.2009 0.1230 0.4752
2 Sm 0.7471 0.2899 0.2158
3 Sm 0.9189 0.4276 0.7346
4 Sm 0.7991 0.8770 0.5248
5 Sm 0.5000 0.0000 0.0000
6 Sm 0.2529 0.7101 0.7842
7 Sm 0.0811 0.5724 0.2654
8 Mg 0.3253 0.3453 0.0040
9 Mg 0.6746 0.6547 0.9960
10 Mg 0.4605 0.6953 0.3837
11 Mg 0.5395 0.3047 0.6163
12 La 0.0000 0.0000 0.0000

=====

2.
The following is a DFT calculation (PBE) of an optimized crystal structure of LaSmMg17.

Lattice parameters (Å, degrees): 7.8253 7.8253 7.8253 82.30 82.30 82.30
Positions (direct):
1 Mg 0.1643 0.6464 0.6464
2 Mg 0.9019 0.9019 0.9019
3 Mg 0.6464 0.1643 0.6464
4 Mg 0.9984 0.5014 0.9984
5 Mg 0.6985 0.0012 0.3003
6 Mg 0.0012 0.6985 0.3003
7 Mg 0.3502 0.3502 0.8447
8 Mg 0.8447 0.3502 0.3502
9 Mg 0.0995 0.0995 0.0995
10 Mg 0.3502 0.8447 0.3502
11 Mg 0.6464 0.6464 0.1643
12 Mg 0.6985 0.3003 0.0012
13 Mg 0.3003 0.6985 0.0012
14 Mg 0.9984 0.9984 0.5014
15 Mg 0.3003 0.0012 0.6985
16 Mg 0.5014 0.9984 0.9984
17 Mg 0.0012 0.3003 0.6985
18 Sm 0.3296 0.3296 0.3296
19 La 0.6685 0.6685 0.6685

=====

3.
The following is a DFT calculation (PBE) of an optimized crystal structure of La3Sm3Mg2.

Lattice parameters (Å, degrees): 5.5029 6.5869 16.0822 90.00 90.00 114.69
Positions (direct):
1 Sm 0.4749 0.9498 0.2500
2 Sm 0.6449 0.2898 0.0327
3 Sm 0.3551 0.7102 0.5327
4 Sm 0.3551 0.7102 0.9673
5 Sm 0.6449 0.2898 0.4673
6 Sm 0.5251 0.0502 0.7500
7 Mg 0.2338 0.4677 0.1452
8 Mg 0.7662 0.5323 0.8548
9 Mg 0.2338 0.4677 0.3548
10 Mg 0.7662 0.5323 0.6452
11 La 0.0370 0.0740 0.6060
12 La 0.9630 0.9260 0.3940
13 La 0.9630 0.9260 0.1060
14 La 0.7437 0.4874 0.2500
15 La 0.0370 0.0740 0.8940
16 La 0.2563 0.5126 0.7500

=====

One value per record, in order, for electronic total energy: -3.562; -1.995; -3.961 eV per atom.